Entry 1:
# LiPaTe2 (PBE, optimized geometry)
data_LiPaTe2
_chemical_formula_sum 'Li1 Pa1 Te2'
_cell_length_a 4.140
_cell_length_b 4.140
_cell_length_c 7.491
_cell_angle_alpha 90.00
_cell_angle_beta 90.00
_cell_angle_gamma 120.00
_space_group_name_H-M_alt 'P 1'
_space_group_IT_number 1
_space_group_name_Hall 'P 1'
loop_
_atom_site_label
_atom_site_fract_x
_atom_site_fract_y
_atom_site_fract_z
Li1 0.000 0.000 0.000
Pa1 0.000 0.000 0.500
Te1 0.333 0.667 0.232
Te2 0.667 0.333 0.768
# * symmetry: No. 164
# * excess energy over the best structure of this formula in the dataset: 0 meV/atom
# * E_form (uncorrected): -337 kJ/mol of formula units

=====

Entry 2:
# Cl (PBE, optimized geometry)
data_Cl
_chemical_formula_sum 'Cl1'
_cell_length_a 2.340
_cell_length_b 3.279
_cell_length_c 4.595
_cell_angle_alpha 69.23
_cell_angle_beta 75.41
_cell_angle_gamma 89.99
_space_group_name_H-M_alt 'P 1'
_space_group_IT_number 1
_space_group_name_Hall 'P 1'
loop_
_atom_site_label
_atom_site_fract_x
_atom_site_fract_y
_atom_site_fract_z
Cl1 0.000 0.000 0.000
# * symmetry: No. 2
# * excess energy over the best structure of this formula in the dataset: 220 meV/atom
# * E_form (uncorrected): 21 kJ/mol of formula units

=====

Entry 3:
# Cu2SbAu (PBE, optimized geometry)
data_Cu2SbAu
_chemical_formula_sum 'Cu4 Sb2 Au2'
_cell_length_a 5.841
_cell_length_b 5.841
_cell_length_c 5.841
_cell_angle_alpha 103.17
_cell_angle_beta 103.17
_cell_angle_gamma 122.98
_space_group_name_H-M_alt 'P 1'
_space_group_IT_number 1
_space_group_name_Hall 'P 1'
loop_
_atom_site_label
_atom_site_fract_x
_atom_site_fract_y
_atom_site_fract_z
Cu1 0.121 0.625 0.996
Cu2 0.375 0.371 0.496
Cu3 0.629 0.125 0.004
Cu4 0.875 0.879 0.504
Sb1 0.250 0.750 0.500
Sb2 0.500 0.500 0.000
Au1 0.000 0.000 0.000
Au2 0.750 0.250 0.500
# * symmetry: No. 122
# * E_form (uncorrected): 88 kJ/mol of formula units

=====

Entry 4:
# Hf4Ge2C (PBE, optimized geometry)
data_Hf4Ge2C
_chemical_formula_sum 'Hf8 Ge4 C2'
_cell_length_a 6.951
_cell_length_b 10.578
_cell_length_c 3.525
_cell_angle_alpha 90.00
_cell_angle_beta 90.00
_cell_angle_gamma 90.00
_space_group_name_H-M_alt 'P 1'
_space_group_IT_number 1
_space_group_name_Hall 'P 1'
loop_
_atom_site_label
_atom_site_fract_x
_atom_site_fract_y
_atom_site_fract_z
Hf1 0.125 0.193 0.000
Hf2 0.200 0.940 0.500
Hf3 0.300 0.440 0.500
Hf4 0.375 0.693 0.000
Hf5 0.625 0.307 0.000
Hf6 0.700 0.560 0.500
Hf7 0.800 0.060 0.500
Hf8 0.875 0.807 0.000
Ge1 0.076 0.662 0.500
Ge2 0.424 0.162 0.500
Ge3 0.576 0.838 0.500
Ge4 0.924 0.338 0.500
C1 0.000 0.000 0.000
C2 0.500 0.500 0.000
# * ΔE_f: -427 kJ/mol of formula units
# * symmetry: No. 55
# * excess energy over the best structure of this formula in the dataset: 0 meV/atom

=====

Entry 5:
# Rb2BeGeO4 (PBE, optimized geometry)
data_Rb2BeGeO4
_chemical_formula_sum 'Rb4 Be2 Ge2 O8'
_cell_length_a 11.848
_cell_length_b 10.504
_cell_length_c 6.408
_cell_angle_alpha 85.31
_cell_angle_beta 62.07
_cell_angle_gamma 32.62
_space_group_name_H-M_alt 'P 1'
_space_group_IT_number 1
_space_group_name_Hall 'P 1'
loop_
_atom_site_label
_atom_site_fract_x
_atom_site_fract_y
_atom_site_fract_z
Rb1 0.047 0.047 0.703
Rb2 0.297 0.297 0.953
Rb3 0.703 0.703 0.047
Rb4 0.953 0.953 0.297
Be1 0.125 0.125 0.125
Be2 0.875 0.875 0.875
Ge1 0.375 0.375 0.375
Ge2 0.625 0.625 0.625
O1 0.012 0.324 0.393
O2 0.229 0.607 0.676
O3 0.324 0.012 0.771
O4 0.393 0.771 0.012
O5 0.607 0.229 0.988
O6 0.676 0.988 0.229
O7 0.771 0.393 0.324
O8 0.988 0.676 0.607
# * symmetry: No. 70
# * E_form (uncorrected): -1486 kJ/mol of formula units

=====

Entry 6:
# SrMgCd2Pd (PBE, optimized geometry)
data_SrMgCd2Pd
_chemical_formula_sum 'Sr1 Mg1 Cd2 Pd1'
_cell_length_a 5.287
_cell_length_b 5.287
_cell_length_c 4.961
_cell_angle_alpha 90.00
_cell_angle_beta 90.00
_cell_angle_gamma 90.00
_space_group_name_H-M_alt 'P 1'
_space_group_IT_number 1
_space_group_name_Hall 'P 1'
loop_
_atom_site_label
_atom_site_fract_x
_atom_site_fract_y
_atom_site_fract_z
Sr1 0.000 0.000 0.000
Mg1 0.500 0.500 0.000
Cd1 0.000 0.500 0.500
Cd2 0.500 0.000 0.500
Pd1 0.500 0.500 0.500
# * ΔE_f: -140 kJ/mol of formula units
# * symmetry: No. 123
# * excess energy over the best structure of this formula in the dataset: 120 meV/atom

=====

Entry 7:
# Ac3Sn2Hg (PBE, optimized geometry)
data_Ac3Sn2Hg
_chemical_formula_sum 'Ac12 Sn8 Hg4'
_cell_length_a 13.361
_cell_length_b 4.919
_cell_length_c 13.066
_cell_angle_alpha 90.00
_cell_angle_beta 90.00
_cell_angle_gamma 90.00
_space_group_name_H-M_alt 'P 1'
_space_group_IT_number 1
_space_group_name_Hall 'P 1'
loop_
_atom_site_label
_atom_site_fract_x
_atom_site_fract_y
_atom_site_fract_z
Ac1 0.048 0.250 0.125
Ac2 0.128 0.750 0.561
Ac3 0.209 0.250 0.806
Ac4 0.291 0.750 0.306
Ac5 0.372 0.250 0.061
Ac6 0.452 0.750 0.625
Ac7 0.548 0.250 0.375
Ac8 0.628 0.750 0.939
Ac9 0.709 0.250 0.694
Ac10 0.791 0.750 0.194
Ac11 0.872 0.250 0.439
Ac12 0.952 0.750 0.875
Sn1 0.011 0.750 0.319
Sn2 0.187 0.750 0.014
Sn3 0.313 0.250 0.514
Sn4 0.489 0.250 0.819
Sn5 0.511 0.750 0.181
Sn6 0.687 0.750 0.486
Sn7 0.813 0.250 0.986
Sn8 0.989 0.250 0.681
Hg1 0.142 0.250 0.354
Hg2 0.358 0.750 0.854
Hg3 0.642 0.250 0.146
Hg4 0.858 0.750 0.646
# * ΔE_f: -349 kJ/mol of formula units
# * symmetry: No. 62
# * excess energy over the best structure of this formula in the dataset: 0 meV/atom

=====

Entry 8:
# NaPtW (PBE, optimized geometry)
data_NaPtW
_chemical_formula_sum 'Na2 Pt2 W2'
_cell_length_a 2.845
_cell_length_b 2.845
_cell_length_c 13.739
_cell_angle_alpha 90.00
_cell_angle_beta 90.00
_cell_angle_gamma 90.00
_space_group_name_H-M_alt 'P 1'
_space_group_IT_number 1
_space_group_name_Hall 'P 1'
loop_
_atom_site_label
_atom_site_fract_x
_atom_site_fract_y
_atom_site_fract_z
Na1 0.250 0.250 0.122
Na2 0.750 0.750 0.878
Pt1 0.250 0.250 0.711
Pt2 0.750 0.750 0.289
W1 0.250 0.250 0.422
W2 0.750 0.750 0.578
# * ΔE_f: -23 kJ/mol of formula units
# * symmetry: No. 129
# * excess energy over the best structure of this formula in the dataset: 0 meV/atom

=====

Entry 9:
# Ca3BiPb (PBE, optimized geometry)
data_Ca3BiPb
_chemical_formula_sum 'Ca6 Bi2 Pb2'
_cell_length_a 9.987
_cell_length_b 9.987
_cell_length_c 4.036
_cell_angle_alpha 90.00
_cell_angle_beta 90.00
_cell_angle_gamma 64.16
_space_group_name_H-M_alt 'P 1'
_space_group_IT_number 1
_space_group_name_Hall 'P 1'
loop_
_atom_site_label
_atom_site_fract_x
_atom_site_fract_y
_atom_site_fract_z
Ca1 0.108 0.108 0.001
Ca2 0.161 0.537 0.500
Ca3 0.463 0.839 0.500
Ca4 0.517 0.267 0.001
Ca5 0.733 0.483 0.999
Ca6 0.892 0.892 0.999
Bi1 0.312 0.187 0.501
Bi2 0.813 0.688 0.499
Pb1 0.313 0.687 0.000
Pb2 0.813 0.187 0.500
# * ΔE_f: -266 kJ/mol of formula units
# * symmetry: No. 5
# * excess energy over the best structure of this formula in the dataset: 51 meV/atom

=====

Entry 10:
# Li2ThAlPt4 (PBE, optimized geometry)
data_Li2ThAlPt4
_chemical_formula_sum 'Li2 Th1 Al1 Pt4'
_cell_length_a 8.752
_cell_length_b 8.752
_cell_length_c 8.752
_cell_angle_alpha 28.36
_cell_angle_beta 28.36
_cell_angle_gamma 28.36
_space_group_name_H-M_alt 'P 1'
_space_group_IT_number 1
_space_group_name_Hall 'P 1'
loop_
_atom_site_label
_atom_site_fract_x
_atom_site_fract_y
_atom_site_fract_z
Li1 0.238 0.238 0.238
Li2 0.762 0.762 0.762
Th1 0.000 0.000 0.000
Al1 0.500 0.500 0.500
Pt1 0.132 0.132 0.132
Pt2 0.399 0.399 0.399
Pt3 0.601 0.601 0.601
Pt4 0.868 0.868 0.868
# * ΔE_f: -719 kJ/mol of formula units
# * symmetry: No. 166

=====

Entry 11:
# Mg12Tl2Cd5 (PBE, optimized geometry)
data_Mg12Tl2Cd5
_chemical_formula_sum 'Mg12 Tl2 Cd5'
_cell_length_a 8.662
_cell_length_b 8.662
_cell_length_c 9.815
_cell_angle_alpha 102.59
_cell_angle_beta 102.59
_cell_angle_gamma 42.45
_space_group_name_H-M_alt 'P 1'
_space_group_IT_number 1
_space_group_name_Hall 'P 1'
loop_
_atom_site_label
_atom_site_fract_x
_atom_site_fract_y
_atom_site_fract_z
Mg1 0.021 0.021 0.347
Mg2 0.051 0.550 0.884
Mg3 0.093 0.610 0.384
Mg4 0.359 0.359 0.656
Mg5 0.390 0.907 0.616
Mg6 0.450 0.949 0.116
Mg7 0.550 0.051 0.884
Mg8 0.610 0.093 0.384
Mg9 0.641 0.641 0.344
Mg10 0.907 0.390 0.616
Mg11 0.949 0.450 0.116
Mg12 0.979 0.979 0.653
Tl1 0.256 0.744 0.000
Tl2 0.744 0.256 0.000
Cd1 0.137 0.137 0.865
Cd2 0.200 0.200 0.380
Cd3 0.500 0.500 0.500
Cd4 0.800 0.800 0.620
Cd5 0.863 0.863 0.135
# * ΔE_f: 75 kJ/mol of formula units
# * symmetry: No. 12
# * excess energy over the best structure of this formula in the dataset: 69 meV/atom

=====

Entry 12:
# CaTiCuBr2 (PBE, optimized geometry)
data_CaTiCuBr2
_chemical_formula_sum 'Ca1 Ti1 Cu1 Br2'
_cell_length_a 5.013
_cell_length_b 5.013
_cell_length_c 5.030
_cell_angle_alpha 90.00
_cell_angle_beta 90.00
_cell_angle_gamma 90.00
_space_group_name_H-M_alt 'P 1'
_space_group_IT_number 1
_space_group_name_Hall 'P 1'
loop_
_atom_site_label
_atom_site_fract_x
_atom_site_fract_y
_atom_site_fract_z
Ca1 0.000 0.000 0.000
Ti1 0.500 0.500 0.500
Cu1 0.500 0.500 0.000
Br1 0.000 0.500 0.500
Br2 0.500 0.000 0.500
# * symmetry: No. 123
# * E_form (uncorrected): -148 kJ/mol of formula units

=====

Question: What is the formula in the fifth record?
Answer: Rb2BeGeO4

=====

Question: What is the formula in the fifth record?
Answer: Rb2BeGeO4